## La5Pm5Mg2 (PBE)

Data for a relaxed La5Pm5Mg2 crystal.

It has space group C2/m (No. 12), with a = 15.473 Å, b = 5.162 Å, c = 11.388 Å, α = 90.00°, β = 116.91° and γ = 90.00°. The distinct sites, in fractional coordinates, are La at (0.000, 0.000, 0.000), La at (0.078, 0.000, 0.743), La at (0.248, 0.500, 0.740), Pm at (0.000, 0.500, 0.500), Pm at (0.086, 0.500, 0.260), Pm at (0.167, 0.500, 0.999) and Mg at (0.169, 0.000, 0.499).

The size of the total moment is 0.00 Bohr magnetons per cell. The value obtained for the density of states at the Fermi level is 1.41 states/eV/atom. Its formation energy is 8 meV/atom.